(1)
An optimized crystal structure of Dy2LuZn, computed with PBE.

Unit cell a=3.8211 b=5.2539 c=5.2539 alpha=90.00 beta=90.00 gamma=90.00
Atoms (fractional coordinates):
Dy 0.0000 0.0000 0.5000
Dy 0.0000 0.5000 0.0000
Lu 0.5000 0.5000 0.5000
Zn 0.5000 0.0000 0.0000

Results
- spin magnetization (μB/atom) = 0.000
- final energy (eV/atom) = -3.761
- energy relative to the elements (eV/atom) = -0.011



(2)
An optimized crystal structure of DyLu2Zn, computed with PBE.

Unit cell a=3.4913 b=3.4913 c=10.3431 alpha=80.28 beta=80.28 gamma=60.00
Atoms (fractional coordinates):
Zn 0.0000 0.0000 0.0000
Dy 0.5000 0.5000 0.5000
Lu 0.7392 0.7392 0.7825
Lu 0.2608 0.2608 0.2175

Results
- spin magnetization (μB/atom) = 0.000
- final energy (eV/atom) = -3.798
- energy relative to the elements (eV/atom) = -0.069



(3)
An optimized crystal structure of DyLu2Zn, computed with PBE.

Unit cell a=3.4944 b=3.4944 c=8.5223 alpha=90.00 beta=90.00 gamma=90.00
Atoms (fractional coordinates):
Lu 0.0000 0.0000 0.2045
Lu 0.0000 0.0000 0.7955
Zn 0.5000 0.5000 0.0000
Dy 0.5000 0.5000 0.5000

Results
- spin magnetization (μB/atom) = 0.000
- final energy (eV/atom) = -3.897
- energy relative to the elements (eV/atom) = -0.167



(4)
An optimized crystal structure of DyLu2Zn, computed with PBE.

Unit cell a=4.6830 b=4.6759 c=4.6759 alpha=90.00 beta=90.00 gamma=90.00
Atoms (fractional coordinates):
Lu 0.0000 0.5000 0.0000
Lu 0.0000 0.0000 0.5000
Zn 0.5000 0.0000 0.0000
Dy 0.5000 0.5000 0.5000

Results
- spin magnetization (μB/atom) = 0.000
- final energy (eV/atom) = -3.759
- energy relative to the elements (eV/atom) = -0.029



(5)
An optimized crystal structure of Dy2LuZn, computed with PBE.

Unit cell a=3.5464 b=3.5464 c=8.4941 alpha=90.00 beta=90.00 gamma=90.00
Atoms (fractional coordinates):
Dy 0.0000 0.0000 0.7903
Dy 0.0000 0.0000 0.2097
Zn 0.5000 0.5000 0.0000
Lu 0.5000 0.5000 0.5000

Results
- spin magnetization (μB/atom) = 0.000
- final energy (eV/atom) = -3.904
- energy relative to the elements (eV/atom) = -0.154



(6)
An optimized crystal structure of Dy2LuZn, computed with PBE.

Unit cell a=5.2863 b=5.2863 c=5.2863 alpha=60.00 beta=60.00 gamma=60.00
Atoms (fractional coordinates):
Lu 0.5000 0.5000 0.5000
Zn 0.0000 0.0000 0.0000
Dy 0.7500 0.7500 0.7500
Dy 0.2500 0.2500 0.2500

Results
- spin magnetization (μB/atom) = 0.002
- final energy (eV/atom) = -3.729
- energy relative to the elements (eV/atom) = 0.021



(7)
An optimized crystal structure of Dy2LuZr, computed with PBE.

Unit cell a=5.4644 b=5.4644 c=5.4644 alpha=60.00 beta=60.00 gamma=60.00
Each line ends with the local moment (μB).
Atoms (fractional coordinates):
Dy 0.2500 0.2500 0.2500  -0.41
Dy 0.7500 0.7500 0.7500  -0.41
Lu 0.0000 0.0000 0.0000  -0.17
Zr 0.5000 0.5000 0.5000  -0.91

Results
- spin magnetization (μB/atom) = 0.688
- final energy (eV/atom) = -5.369
- energy relative to the elements (eV/atom) = 0.199



(8)
An optimized crystal structure of Dy2LuZr, computed with PBE.

Unit cell a=4.0066 b=4.0066 c=7.0950 alpha=90.00 beta=90.00 gamma=90.00
Atoms (fractional coordinates):
Dy 0.0000 0.0000 0.2700
Dy 0.0000 0.0000 0.7300
Zr 0.5000 0.5000 0.5000
Lu 0.5000 0.5000 0.0000

Results
- spin magnetization (μB/atom) = 0.000
- final energy (eV/atom) = -5.403
- energy relative to the elements (eV/atom) = 0.165



(9)
An optimized crystal structure of Dy2LuZr, computed with PBE.

Unit cell a=4.8179 b=4.8373 c=4.8373 alpha=90.00 beta=90.00 gamma=90.00
Atoms (fractional coordinates):
Dy 0.0000 0.0000 0.5000
Dy 0.0000 0.5000 0.0000
Lu 0.5000 0.5000 0.5000
Zr 0.5000 0.0000 0.0000

Results
- spin magnetization (μB/atom) = 0.000
- final energy (eV/atom) = -5.485
- energy relative to the elements (eV/atom) = 0.083



(10)
An optimized crystal structure of Dy3Mg, computed with PBE.

Unit cell a=3.5756 b=3.5756 c=9.2312 alpha=90.00 beta=90.00 gamma=90.00
Atoms (fractional coordinates):
Dy 0.0000 0.0000 0.5000
Dy 0.5000 0.5000 0.7645
Dy 0.5000 0.5000 0.2355
Mg 0.0000 0.0000 0.0000

Results
- spin magnetization (μB/atom) = 0.000
- final energy (eV/atom) = -3.877
- energy relative to the elements (eV/atom) = -0.026



(11)
An optimized crystal structure of Dy3Mg, computed with PBE.

Unit cell a=4.9460 b=4.9460 c=5.9241 alpha=114.67 beta=114.67 gamma=90.00
Atoms (fractional coordinates):
Mg 0.0000 0.0000 0.0000
Dy 0.2500 0.7500 0.5000
Dy 0.5000 0.5000 0.0000
Dy 0.7500 0.2500 0.5000

Results
- spin magnetization (μB/atom) = 0.000
- final energy (eV/atom) = -3.822
- energy relative to the elements (eV/atom) = 0.028



(12)
An optimized crystal structure of DyMg3, computed with PBE.

Unit cell a=4.6614 b=4.6661 c=4.6655 alpha=90.00 beta=90.00 gamma=90.00
Atoms (fractional coordinates):
Mg 0.5000 0.0000 0.4167
Mg 0.0000 0.0000 0.9167
Mg 0.5000 0.5000 0.9167
Dy 0.0000 0.5000 0.4166

Results
- spin magnetization (μB/atom) = 0.000
- final energy (eV/atom) = -2.406
- energy relative to the elements (eV/atom) = -0.060